No. 1
Compound: CuAg3
Source: Alexandria
Functional: PBEsol
Structure: relaxed

```
CuAg3
1.0
2.807 0.000 0.000
-1.404 2.431 0.000
0.000 0.000 9.030
Cu Ag
1 3
Direct
0.000 0.000 0.000 Cu
0.000 0.000 0.500 Ag
0.333 0.667 0.235 Ag
0.333 0.667 0.765 Ag
```

Output
- N(E_F): 1.30 states/eV per cell
- Space-group type: P-6m2 (187)
- Energy: -3.486 eV/atom
- Theoretical density: 10.4 Mg/m³
- Formation energy from the elements: 81 meV per atom


No. 2
Compound: Hf2CoTe
Source: Alexandria
Functional: PBEsol
Structure: relaxed

```
Hf2CoTe
1.0
-3.656 3.656 2.880
3.656 -3.656 2.880
3.656 3.656 -2.880
Hf Co Te
4 2 2
Direct
0.074 0.625 0.949 Hf
0.375 0.324 0.449 Hf
0.676 0.125 0.051 Hf
0.875 0.926 0.551 Hf
0.000 0.000 0.000 Co
0.750 0.250 0.500 Co
0.250 0.750 0.500 Te
0.500 0.500 0.000 Te
```

Output
- N(E_F): 3.87 states/eV per cell
- Space-group type: I-42d (122)
- Energy: -8.202 eV/atom
- Theoretical density: 11.7 Mg/m³
- Raw formation energy: -135 meV/atom


No. 3
Compound: LaRe3Ag
Source: Alexandria
Functional: PBEsol
Structure: relaxed

```
LaRe3Ag
1.0
4.791 0.000 0.000
0.000 4.791 0.000
0.000 0.000 4.791
La Re Ag
1 3 1
Direct
0.000 0.000 0.000 La
0.000 0.500 0.500 Re
0.500 0.000 0.500 Re
0.500 0.500 0.000 Re
0.500 0.500 0.500 Ag
```

Output
- N(E_F): 11.19 states/eV per cell
- Space-group type: Pm-3m (221)
- Energy: -7.348 eV/atom
- Theoretical density: 12.2 Mg/m³
- Formation energy from the elements: 2382 meV per atom